Co2IrPt | meta-GGA SCAN | PBEsol geometry

Cell: 4.430 4.430 4.430 Å, 130.09 130.09 73.26°
Atoms (fractional coordinates):
Co  0.250  0.750  0.500
Co  0.750  0.250  0.500
Ir  0.000  0.000  0.000
Pt  0.500  0.500  0.000

**Magnetic moment**: 5.16 μB/cell
**DFT total energy**: -175.92 eV for the cell shown
**Formation energy from the elements**: -0.005 eV/atom
**Polymorph energy (0 for the lowest one)**: 0.83 kcal/mol of atoms

---

CoIrPt | meta-GGA SCAN | PBEsol geometry

Cell: 5.844 5.844 5.844 Å, 153.53 153.53 37.79°
Atoms (fractional coordinates):
Co  0.000  0.000  0.000
Ir  0.652  0.652  0.000
Pt  0.335  0.335  0.000

**Magnetic moment**: 2.44 μB/cell
**DFT total energy**: -158.56 eV for the cell shown
**Formation energy from the elements**: 0.011 eV/atom
**Polymorph energy (0 for the lowest one)**: 0.00 kcal/mol of atoms

---

CoIrPt | meta-GGA SCAN | PBEsol geometry

Cell: 2.680 2.680 6.436 Å, 90.00 90.00 120.00°
Atoms (fractional coordinates):
Co  0.000  0.000  0.000
Ir  0.333  0.667  0.690
Pt  0.667  0.333  0.327

**Magnetic moment**: 2.56 μB/cell
**DFT total energy**: -158.55 eV for the cell shown
**Formation energy from the elements**: 0.017 eV/atom
**Polymorph energy (0 for the lowest one)**: 0.14 kcal/mol of atoms